Entry from Alexandria: a geometry-optimized Re2MoAu structure (GGA-PBE).

Calculated values
ΔE to the lowest computed polymorph = 0.789 eV/atom
space group = No. 122
energy of formation = 3.99 eV/f.u.

Unit cell a=7.2378 b=7.2378 c=5.7820 alpha=51.25 beta=51.25 gamma=90.00
Fractional positions:
Re: 0.5949 0.1250 0.2500
Re: 0.1551 0.6250 0.2500
Re: 0.3750 0.4051 0.7500
Re: 0.8750 0.8449 0.7500
Mo: 0.5000 0.5000 0.0000
Mo: 0.2500 0.7500 0.5000
Au: 0.0000 0.0000 0.0000
Au: 0.7500 0.2500 0.5000


Entry from Alexandria: a geometry-optimized Nd2Ga3Pt5 structure (GGA-PBE).

Calculated values
ΔE to the lowest computed polymorph = 0.031 eV/atom
space group = No. 36
energy of formation = -8.98 eV/f.u.

Unit cell a=4.2214 b=6.9797 c=12.8989 alpha=90.00 beta=99.42 gamma=90.00
Fractional positions:
Nd: 0.4761 0.7317 0.9523
Nd: 0.1728 0.7576 0.3457
Nd: 0.8272 0.2576 0.6543
Nd: 0.5239 0.2317 0.0477
Ga: 0.7812 0.8108 0.5624
Ga: 0.6293 0.4294 0.2586
Ga: 0.0458 0.9117 0.0917
Ga: 0.2188 0.3108 0.4376
Ga: 0.9542 0.4117 0.9083
Ga: 0.3707 0.9294 0.7414
Pt: 0.4012 0.4014 0.8025
Pt: 0.3028 0.5812 0.6056
Pt: 0.6972 0.0812 0.3944
Pt: 0.1196 0.1922 0.2392
Pt: 0.2725 0.0086 0.5451
Pt: 0.9449 0.0403 0.8898
Pt: 0.7275 0.5086 0.4549
Pt: 0.8804 0.6922 0.7608
Pt: 0.0551 0.5403 0.1102
Pt: 0.5988 0.9014 0.1975


Entry from Alexandria: a geometry-optimized Ce2Th3Tc2 structure (GGA-PBE).

Calculated values
space group = No. 12
energy of formation = -0.67 eV/f.u.

Unit cell a=3.8347 b=6.2332 c=8.9565 alpha=67.08 beta=77.64 gamma=72.09
Fractional positions:
Ce: 0.1662 0.4646 0.2031
Ce: 0.8338 0.5354 0.7969
Th: 0.5000 0.0000 0.0000
Th: 0.3755 0.8145 0.4346
Th: 0.6245 0.1855 0.5654
Tc: 0.1658 0.8604 0.8080
Tc: 0.8342 0.1396 0.1920


Entry from Alexandria: a geometry-optimized Nd2Ho4Er7 structure (GGA-PBE).

Calculated values
space group = No. 162
energy of formation = 2.47 eV/f.u.

Unit cell a=6.0273 b=6.0273 c=13.3278 alpha=90.00 beta=90.00 gamma=120.00
Fractional positions:
Nd: 0.6667 0.3333 0.0000
Nd: 0.3333 0.6667 0.0000
Ho: 0.0000 0.0000 0.6047
Ho: 0.0000 0.0000 0.3953
Ho: 0.6667 0.3333 0.5000
Ho: 0.3333 0.6667 0.5000
Er: 0.0000 0.6500 0.7841
Er: 0.0000 0.3500 0.2159
Er: 0.0000 0.0000 0.0000
Er: 0.6500 0.0000 0.7841
Er: 0.3500 0.0000 0.2159
Er: 0.6500 0.6500 0.2159
Er: 0.3500 0.3500 0.7841


Entry from Alexandria: a geometry-optimized Al2TlOs structure (GGA-PBE).

Calculated values
ΔE to the lowest computed polymorph = 0.436 eV/atom
space group = No. 160
energy of formation = 1.41 eV/f.u.

Unit cell a=9.9535 b=9.9535 c=9.9535 alpha=17.09 beta=17.09 gamma=17.09
Fractional positions:
Tl: 0.7590 0.7590 0.7590
Os: 0.5110 0.5110 0.5110
Al: 0.9878 0.9878 0.9878
Al: 0.2422 0.2422 0.2422


Entry from Alexandria: a geometry-optimized NiPtCl structure (GGA-PBE).

Calculated values
ΔE_f (raw) = -0.5 kJ per mole of atoms
ΔE to the lowest computed polymorph = 0.021 eV/atom
space group = No. 1

Unit cell a=3.1087 b=3.3948 c=10.3161 alpha=89.76 beta=89.67 gamma=90.00
Last column: magnetic moment on the atom in μB.
Fractional positions:
Ni: 0.0166 0.4543 0.9624  0.71
Ni: 0.5146 0.9528 0.0801  0.93
Pt: 0.5191 0.9561 0.8395  0.21
Pt: 0.0220 0.4580 0.6974  0.10
Cl: 0.0252 0.9601 0.5351  -0.01
Cl: 0.5121 0.4511 0.2180  0.11


Entry from Alexandria: a geometry-optimized Ac3Ni7P4 structure (GGA-PBE).

Calculated values
space group = No. 12
energy of formation = -9.71 eV/f.u.

Unit cell a=3.9531 b=8.1533 c=7.9229 alpha=77.60 beta=75.55 gamma=75.97
Fractional positions:
Ac: 0.3053 0.1994 0.1900
Ac: 0.6947 0.8006 0.8100
Ac: 0.0000 0.5000 0.5000
Ni: 0.3011 0.9018 0.4960
Ni: 0.5015 0.2186 0.7784
Ni: 0.8619 0.3688 0.9073
Ni: 0.6989 0.0982 0.5040
Ni: 0.1381 0.6312 0.0927
Ni: 0.0000 0.0000 0.0000
Ni: 0.4985 0.7814 0.2216
P: 0.6624 0.5047 0.1704
P: 0.3376 0.4953 0.8296
P: 0.8973 0.8938 0.3115
P: 0.1027 0.1062 0.6885


Entry from Alexandria: a geometry-optimized PmAgHgAu structure (GGA-PBE).

Calculated values
space group = No. 216
energy of formation = -1.78 eV/f.u.

Unit cell a=5.0341 b=5.0341 c=5.0341 alpha=60.00 beta=60.00 gamma=60.00
Fractional positions:
Au: 0.7500 0.7500 0.7500
Hg: 0.2500 0.2500 0.2500
Ag: 0.5000 0.5000 0.5000
Pm: 0.0000 0.0000 0.0000


Entry from Alexandria: a geometry-optimized CrTeCl4 structure (GGA-PBE).

Calculated values
ΔE_f (raw) = 68.7 kJ per mole of atoms
space group = No. 216

Unit cell a=5.9084 b=5.9084 c=5.9084 alpha=60.00 beta=60.00 gamma=60.00
Last column: magnetic moment on the atom in μB.
Fractional positions:
Cr: 0.7500 0.7500 0.7500  4.08
Te: 0.0000 0.0000 0.0000  -0.85
Cl: 0.8730 0.3757 0.3757  -0.40
Cl: 0.3757 0.3757 0.8730  -0.40
Cl: 0.3757 0.8730 0.3757  -0.40
Cl: 0.3757 0.3757 0.3757  -0.40


Entry from Alexandria: a geometry-optimized CdAuN2O structure (GGA-PBE).

Calculated values
ΔE_f (raw) = 186.5 kJ per mole of atoms
space group = No. 123

Unit cell a=4.2941 b=4.2941 c=4.2525 alpha=90.00 beta=90.00 gamma=90.00
Last column: magnetic moment on the atom in μB.
Fractional positions:
N: 0.0000 0.5000 0.0000  1.08
N: 0.5000 0.0000 0.0000  1.08
Au: 0.5000 0.5000 0.5000  0.20
O: 0.0000 0.0000 0.5000  0.54
Cd: 0.0000 0.0000 0.0000  0.04


Entry from Alexandria: a geometry-optimized SrSc2Ag structure (GGA-PBE).

Calculated values
ΔE to the lowest computed polymorph = 0.146 eV/atom
space group = No. 8
energy of formation = 0.57 eV/f.u.

Unit cell a=6.1201 b=6.1201 c=6.2814 alpha=64.07 beta=64.07 gamma=32.75
Last column: magnetic moment on the atom in μB.
Fractional positions:
Ag: 0.2781 0.2781 0.3638  0.01
Sc: 0.9538 0.9538 0.9658  0.37
Sc: 0.7243 0.7243 0.7738  0.31
Sr: 0.5438 0.5438 0.3967  0.04


Entry from Alexandria: a geometry-optimized Cs2RhO4 structure (GGA-PBE).

Calculated values
ΔE_f (raw) = -91.2 kJ per mole of atoms
ΔE to the lowest computed polymorph = 0.000 eV/atom
space group = No. 42

Unit cell a=6.6095 b=6.6095 c=7.0188 alpha=119.37 beta=119.37 gamma=87.61
Last column: magnetic moment on the atom in μB.
Fractional positions:
Cs: 0.2610 0.7390 0.5000  0.01
Cs: 0.7610 0.2390 0.5000  0.01
Rh: 0.9979 0.0021 0.0000  0.43
O: 0.7293 0.9531 0.0000  0.12
O: 0.0469 0.2707 0.0000  0.12
O: 0.2525 0.0488 0.3013  0.11
O: 0.9512 0.7475 0.6987  0.11


Entry from Alexandria: a geometry-optimized ErMg5 structure (GGA-PBE).

Calculated values
space group = No. 38
energy of formation = 0.02 eV/f.u.

Unit cell a=8.6699 b=8.6699 c=5.3669 alpha=90.00 beta=90.00 gamma=158.53
Fractional positions:
Er: 0.2208 0.7792 0.0000
Mg: 0.0012 0.9988 0.5000
Mg: 0.6646 0.3354 0.5000
Mg: 0.3353 0.6647 0.5000
Mg: 0.5523 0.4477 0.0000
Mg: 0.8925 0.1075 0.0000


Entry from Alexandria: a geometry-optimized TmSi4Ir2 structure (GGA-PBE).

Calculated values
ΔE_f (raw) = -75.2 kJ per mole of atoms
space group = No. 62

Unit cell a=4.1355 b=6.4391 c=16.4443 alpha=90.00 beta=90.00 gamma=90.00
Fractional positions:
Tm: 0.7500 0.0007 0.6414
Tm: 0.2500 0.9993 0.3586
Tm: 0.2500 0.5007 0.8586
Tm: 0.7500 0.4993 0.1414
Si: 0.2500 0.2761 0.6915
Si: 0.7500 0.7239 0.3085
Si: 0.7500 0.7761 0.8085
Si: 0.2500 0.2239 0.1915
Si: 0.2500 0.6863 0.6820
Si: 0.7500 0.3137 0.3180
Si: 0.7500 0.1863 0.8180
Si: 0.2500 0.8137 0.1820
Si: 0.2500 0.1365 0.5346
Si: 0.7500 0.8635 0.4654
Si: 0.7500 0.6365 0.9654
Si: 0.2500 0.3635 0.0346
Si: 0.2500 0.4631 0.4348
Si: 0.7500 0.5369 0.5652
Si: 0.7500 0.9631 0.0652
Si: 0.2500 0.0369 0.9348
Ir: 0.2500 0.7494 0.5335
Ir: 0.7500 0.2506 0.4665
Ir: 0.7500 0.2494 0.9665
Ir: 0.2500 0.7506 0.0335
Ir: 0.2500 0.9785 0.7865
Ir: 0.7500 0.0215 0.2135
Ir: 0.7500 0.4785 0.7135
Ir: 0.2500 0.5215 0.2865


Entry from Alexandria: a geometry-optimized CdGa2Hg structure (GGA-PBE).

Calculated values
ΔE to the lowest computed polymorph = 0.046 eV/atom
space group = No. 225
energy of formation = 0.38 eV/f.u.

Unit cell a=5.0118 b=5.0118 c=5.0118 alpha=60.00 beta=60.00 gamma=60.00
Fractional positions:
Hg: 0.5000 0.5000 0.5000
Ga: 0.2500 0.2500 0.2500
Ga: 0.7500 0.7500 0.7500
Cd: 0.0000 0.0000 0.0000


Entry from Alexandria: a geometry-optimized Pm2Sm3Tm8 structure (GGA-PBE).

Calculated values
ΔE to the lowest computed polymorph = 0.233 eV/atom
space group = No. 65
energy of formation = 3.34 eV/f.u.

Unit cell a=5.5420 b=10.9088 c=10.9088 alpha=40.88 beta=90.01 gamma=90.01
Fractional positions:
Pm: 0.4999 0.2407 0.2407
Pm: 0.5001 0.7593 0.7593
Sm: 0.5000 0.0000 0.0000
Sm: 0.0000 0.2915 0.7085
Sm: 0.0000 0.7085 0.2915
Tm: 0.0001 0.6645 0.6645
Tm: 0.9999 0.3355 0.3355
Tm: 0.0000 0.1304 0.1304
Tm: 0.0000 0.8696 0.8696
Tm: 0.4999 0.6026 0.1796
Tm: 0.4999 0.1796 0.6026
Tm: 0.5001 0.8204 0.3974
Tm: 0.5001 0.3974 0.8204


Entry from Alexandria: a geometry-optimized Nd2MgCd4 structure (GGA-PBE).

Calculated values
ΔE to the lowest computed polymorph = 0.244 eV/atom
space group = No. 139
energy of formation = 0.64 eV/f.u.

Unit cell a=5.0710 b=5.0710 c=8.9234 alpha=106.51 beta=106.51 gamma=90.00
Fractional positions:
Nd: 0.6312 0.6312 0.2624
Nd: 0.3688 0.3688 0.7376
Mg: 0.0000 0.0000 0.0000
Cd: 0.8254 0.8254 0.6507
Cd: 0.1746 0.1746 0.3493
Cd: 0.0000 0.5000 0.0000
Cd: 0.5000 0.0000 0.0000


Entry from Alexandria: a geometry-optimized La6Pr8Y structure (GGA-PBE).

Calculated values
ΔE to the lowest computed polymorph = 0.016 eV/atom
space group = No. 148
energy of formation = 1.93 eV/f.u.

Unit cell a=9.5890 b=9.5890 c=8.8428 alpha=57.17 beta=57.17 gamma=60.00
Fractional positions:
La: 0.4436 0.8931 0.9244
La: 0.1069 0.2611 0.0756
La: 0.2611 0.5564 0.0756
La: 0.7389 0.4436 0.9244
La: 0.8931 0.7389 0.9244
La: 0.5564 0.1069 0.0756
Pr: 0.3323 0.2339 0.5203
Pr: 0.7661 0.0865 0.4797
Pr: 0.0865 0.6677 0.4797
Pr: 0.5725 0.5725 0.2826
Pr: 0.4275 0.4275 0.7174
Pr: 0.9135 0.3323 0.5203
Pr: 0.2339 0.9135 0.5203
Pr: 0.6677 0.7661 0.4797
Y: 0.0000 0.0000 0.0000


Entry from Alexandria: a geometry-optimized PrErInAg structure (GGA-PBE).

Calculated values
ΔE to the lowest computed polymorph = 0.025 eV/atom
space group = No. 216
energy of formation = -1.47 eV/f.u.

Unit cell a=5.3403 b=5.3403 c=5.3403 alpha=60.00 beta=60.00 gamma=60.00
Fractional positions:
Pr: 0.5000 0.5000 0.5000
In: 0.7500 0.7500 0.7500
Ag: 0.2500 0.2500 0.2500
Er: 0.0000 0.0000 0.0000


Entry from Alexandria: a geometry-optimized Li2FeNi structure (GGA-PBE).

Calculated values
space group = No. 44
energy of formation = 0.87 eV/f.u.

Unit cell a=4.9502 b=4.9502 c=4.9502 alpha=148.95 beta=127.36 gamma=62.38
Last column: magnetic moment on the atom in μB.
Fractional positions:
Fe: 0.2639 0.7639 0.5000  2.68
Li: 0.9980 0.9980 0.0000  -0.04
Li: 0.7417 0.2417 0.5000  -0.06
Ni: 0.4964 0.4964 0.0000  0.51


| no. | calculated density (kg/m³) | volume (A^3/atom) |
| --- | --- | --- |
| 1 | 15676 | 17.6 |
| 2 | 13048 | 18.7 |
| 3 | 10437 | 26.6 |
| 4 | 8392 | 32.3 |
| 5 | 10025 | 18.6 |
| 6 | 8823 | 18.1 |
| 7 | 8531 | 16.9 |
| 8 | 11973 | 22.6 |
| 9 | 3659 | 24.3 |
| 10 | 7484 | 15.7 |
| 11 | 4183 | 28.3 |
| 12 | 3197 | 32.1 |
| 13 | 3248 | 24.6 |
| 14 | 10098 | 15.6 |
| 15 | 8440 | 22.3 |
| 16 | 8050 | 33.2 |
| 17 | 6025 | 30.0 |
| 18 | 6198 | 36.6 |
| 19 | 8185 | 26.9 |
| 20 | 4330 | 12.3 |